The following is a DFT calculation (PBE-GGA) of crystalline V2TcRu8 at its relaxed geometry.

```
data_V2TcRu8
_chemical_formula_sum 'V4 Tc2 Ru16'
_space_group_name_H-M_alt 'C 1 2/m 1'
_space_group_IT_number 12
_cell_length_a 13.7281
_cell_length_b 3.8203
_cell_length_c 6.0744
_cell_angle_alpha 90.00
_cell_angle_beta 105.59
_cell_angle_gamma 90.00
loop_
_space_group_symop_operation_xyz
'x,y,z'
'-x,-y,-z'
'-x,y,-z'
'x,-y,z'
'x+1/2,y+1/2,z'
'-x+1/2,-y+1/2,-z'
'-x+1/2,y+1/2,-z'
'x+1/2,-y+1/2,z'
loop_
_atom_site_label
_atom_site_fract_x
_atom_site_fract_y
_atom_site_fract_z
V1 0.2268 0.0000 0.1495
Tc1 0.0000 0.5000 0.5000
Ru1 0.0444 0.0000 0.2251
Ru2 0.0929 0.5000 0.9547
Ru3 0.1379 0.0000 0.6830
Ru4 0.1823 0.5000 0.4053
```

## Properties
As for the total DFT energy (no corrections): -9.3614 eV/atom. The formation energy comes out at -0.015 eV per atom. The volume is 13.95 Å³ per atom.

---

The following is a DFT calculation (PBE-GGA) of crystalline GdThInIr at its relaxed geometry.

```
data_GdThInIr
_chemical_formula_sum 'Gd4 Th4 In4 Ir4'
_space_group_name_H-M_alt 'F -4 3 m'
_space_group_IT_number 216
_space_group_name_Hall 'F -4 2 3'
_cell_length_a 7.3621
_cell_length_b 7.3621
_cell_length_c 7.3621
_cell_angle_alpha 90.00
_cell_angle_beta 90.00
_cell_angle_gamma 90.00
loop_
_atom_site_label
_atom_site_fract_x
_atom_site_fract_y
_atom_site_fract_z
Gd1 0.0000 0.0000 0.0000
Th1 0.0000 0.0000 0.5000
In1 0.2500 0.2500 0.7500
Ir1 0.2500 0.2500 0.2500
```

## Properties
As for the total DFT energy (no corrections): -8.6800 eV/atom. The formation energy comes out at -0.405 eV per atom. The volume is 24.94 Å³ per atom.

---

The following is a DFT calculation (PBE-GGA) of crystalline NaTiS2 at its relaxed geometry.

```
data_NaTiS2
_chemical_formula_sum 'Na3 Ti3 S6'
_space_group_name_H-M_alt 'R -3 m'
_space_group_IT_number 166
_space_group_name_Hall '-R 3 2"'
_cell_length_a 4.0138
_cell_length_b 4.0138
_cell_length_c 23.4348
_cell_angle_alpha 90.00
_cell_angle_beta 90.00
_cell_angle_gamma 120.00
loop_
_atom_site_label
_atom_site_fract_x
_atom_site_fract_y
_atom_site_fract_z
Na1 0.0000 0.0000 0.0000
Ti1 0.0000 0.0000 0.5000
S1 0.0000 0.0000 0.4067
```

## Properties
The uncorrected formation energy is -0.370 eV/atom. As for the total DFT energy (no corrections): -4.7370 eV/atom. The volume is 27.25 Å³ per atom.

---

The lowest volume belongs to which entry? V2TcRu8

---

What did the second record say?
The following is a DFT calculation (PBE-GGA) of crystalline GdThInIr at its relaxed geometry.

```
data_GdThInIr
_chemical_formula_sum 'Gd4 Th4 In4 Ir4'
_space_group_name_H-M_alt 'F -4 3 m'
_space_group_IT_number 216
_space_group_name_Hall 'F -4 2 3'
_cell_length_a 7.3621
_cell_length_b 7.3621
_cell_length_c 7.3621
_cell_angle_alpha 90.00
_cell_angle_beta 90.00
_cell_angle_gamma 90.00
loop_
_atom_site_label
_atom_site_fract_x
_atom_site_fract_y
_atom_site_fract_z
Gd1 0.0000 0.0000 0.0000
Th1 0.0000 0.0000 0.5000
In1 0.2500 0.2500 0.7500
Ir1 0.2500 0.2500 0.2500
```

## Properties
As for the total DFT energy (no corrections): -8.6800 eV/atom. The formation energy comes out at -0.405 eV per atom. The volume is 24.94 Å³ per atom.

---

The lowest volume belongs to which entry? V2TcRu8

---

What is the formula in the second record? GdThInIr